A relaxed structure of Sm5ThBi5, computed with PBE-GGA.

- D(E_F): 6.1 states/eV/f.u.
- Calculated formation energy: -681 meV/atom
- Calculated volume: 781.81 Å³ per cell

a b c (Å): 14.2367 6.4136 9.0221
angles (deg): 90.00 108.37 90.00
Space group C2/m (No. 12)
Unique sites:
Sm: 0.0000 0.0000 0.0000 [2 per cell]
Sm: 0.1648 0.5000 0.3290 [4 per cell]
Sm: 0.1651 0.5000 0.8363 [4 per cell]
Th: 0.0000 0.0000 0.5000 [2 per cell]
Bi: 0.0000 0.5000 0.5000 [2 per cell]
Bi: 0.1673 0.0000 0.8365 [4 per cell]
Bi: 0.1704 0.0000 0.3322 [4 per cell]